Below is a relaxed V2FeTeI crystal, with properties calculated at the PBE-GGA level.

The calculation puts the raw formation energy at 1501 meV/atom. Its symmetry is P4/mmm. Its calculated density is 6.4 g/cm3. The total magnetic moment comes out at 0.00 μB per formula unit.

Cell: 4.871 4.534 4.871 Å, 90.00 90.00 90.00°
Fractional coordinates of all 5 atoms:
I: 0.000 0.000 0.000
V: 0.000 0.000 0.500
V: 0.500 0.000 0.000
Fe: 0.000 0.500 0.000
Te: 0.500 0.500 0.500